First-principles (PBE) data for an optimized crystal structure of CrCoPCl2, as listed in Alexandria via LeMat-Bulk.

Properties
For the volume, the calculation gives 97 Å³/cell. As for the density of states at the Fermi level: 2.48 states/eV/cell. The calculation puts the relative energy among the computed polymorphs at 0.00 eV per formula unit. The calculation puts the formation energy without anion corrections at 0.33 eV/atom.

Cell: 4.7782 4.7782 4.2503 Å, 90.00 90.00 90.00°
Positions (direct):
Cr: 0.0000 0.0000 0.0000
Co: 0.5000 0.5000 0.5000
P: 0.5000 0.5000 0.0000
Cl: 0.0000 0.5000 0.5000
Cl: 0.5000 0.0000 0.5000